A plane-wave DFT calculation with PBE was carried out for a relaxed structure of CaPbSeS.

The space group is R3m (No. 160, hexagonal axes) and the conventional cell measures 4.2181, 4.2181 and 20.9107 Å, with angles of 90.00, 90.00 and 120.00 degrees. The distinct sites, in fractional coordinates, are Ca at (0.0000, 0.0000, 0.0000), Pb at (0.0000, 0.0000, 0.5064), Se at (0.0000, 0.0000, 0.7503) and S at (0.0000, 0.0000, 0.2606).

The calculation puts the density of states at the Fermi level at 0.00 states/eV per cell. The value obtained for the total energy is -4.628 eV/atom. The calculation puts the formation energy from raw total energies at -125.1 kJ per mole of atoms. The value obtained for the size of the total moment is 0.00 Bohr magnetons per cell.